Record 1
{"formula": "Sr2ScTa", "functional": "PBE-GGA", "state": "optimized geometry", "crystal_system": "orthorhombic", "relative_energy_ev_per_fu": 1.48, "sg": "Cmmm", "cell": [[6.353, -0.005, 0.000], [-2.853, 5.676, 0.000], [0.000, 0.000, 3.304]], "species": ["Sc", "Sr", "Sr", "Ta"], "frac_coords": [[0.000, 0.500, 0.500], [0.000, 0.000, 0.000], [0.500, 0.500, 0.000], [0.500, 0.000, 0.500]]}

=====

Record 2
{"formula": "ScC2Br2", "functional": "PBE-GGA", "state": "optimized geometry", "crystal_system": "tetragonal", "relative_energy_ev_per_fu": 1.58, "e_form_raw_ev_per_atom": 1.59, "sg": "P4/mbm", "cell": [[-1.774, -0.334, -6.944], [-1.634, -6.946, 0.751], [-3.220, 0.842, 0.782]], "species": ["Sc", "Sc", "C", "C", "C", "C", "Br", "Br", "Br", "Br"], "frac_coords": [[0.000, 0.000, 0.000], [0.500, 0.500, 0.000], [0.226, 0.726, 0.500], [0.726, 0.774, 0.500], [0.774, 0.274, 0.500], [0.274, 0.226, 0.500], [0.346, 0.846, 0.000], [0.846, 0.654, 0.000], [0.654, 0.154, 0.000], [0.154, 0.346, 0.000]]}